(1)
Ac2Nd3Tl4 | Alexandria | PBE | optimized geometry; ΔE to the lowest computed polymorph = 0.000 eV per atom; spin magnetization = 0.0000 μB per atom
1.0
8.752 0.000 0.000
0.000 8.812 0.000
-2.516 0.000 7.951
Ac Nd Tl
4 6 8
direct
0.187 0.182 0.064
0.187 0.318 0.564
0.813 0.682 0.436
0.813 0.818 0.936
0.242 0.665 0.251
0.242 0.835 0.751
0.500 0.000 0.500
0.500 0.500 0.000
0.758 0.165 0.249
0.758 0.335 0.749
0.084 0.539 0.856
0.084 0.961 0.356
0.497 0.129 0.870
0.497 0.371 0.370
0.503 0.629 0.630
0.503 0.871 0.130
0.916 0.039 0.644
0.916 0.461 0.144


(2)
SrPd2I2 | Alexandria | PBE | optimized geometry; ΔE to the lowest computed polymorph = 0.000 eV per atom; formation energy from raw total energies = -0.4747 eV/atom; spin magnetization = 0.0000 μB per atom
1.0
7.859 0.000 0.000
0.000 7.859 0.000
0.000 0.000 4.192
Sr Pd I
2 4 4
direct
0.000 0.000 0.000
0.500 0.500 0.000
0.122 0.378 0.000
0.378 0.878 0.000
0.622 0.122 0.000
0.878 0.622 0.000
0.196 0.696 0.500
0.304 0.196 0.500
0.696 0.804 0.500
0.804 0.304 0.500


(3)
Cs2TcH | Alexandria | PBE | optimized geometry; electronic total energy = -2.496 eV per atom; spin magnetization = 1.0000 μB per atom
1.0
0.000 4.354 4.354
4.354 0.000 4.354
4.354 4.354 0.000
Cs Tc H
2 1 1
direct
0.250 0.250 0.250
0.750 0.750 0.750
0.000 0.000 0.000
0.500 0.500 0.500


(4)
CaMgPb2 | Alexandria | PBE | optimized geometry; electronic total energy = -3.076 eV per atom; spin magnetization = 0.0000 μB per atom
1.0
3.509 -3.510 0.000
3.509 3.510 0.000
-0.010 0.000 4.541
Ca Mg Pb
1 1 2
direct
0.000 0.000 0.000
0.500 0.500 0.000
0.000 0.500 0.500
0.500 0.000 0.500


(5)
Fe2TcRh | Alexandria | PBE | optimized geometry; ΔE to the lowest computed polymorph = 0.169 eV per atom; spin magnetization = 1.3408 μB per atom
1.0
-1.428 2.195 4.273
1.428 -2.195 4.273
1.428 2.195 -4.273
Fe Tc Rh
2 1 1
direct
0.244 0.244 0.000
0.756 0.756 0.000
0.000 0.500 0.500
0.500 0.000 0.500


(6)
KIr2Au | Alexandria | PBE | optimized geometry; ΔE to the lowest computed polymorph = 0.047 eV per atom; spin magnetization = 0.0000 μB per atom
1.0
2.845 0.000 0.000
0.000 2.845 0.000
0.000 0.000 9.353
K Ir Au
1 2 1
direct
0.000 0.000 0.000
0.000 0.000 0.527
0.500 0.500 0.707
0.500 0.500 0.300


(7)
Tc2HgAs | Alexandria | PBE | optimized geometry; ΔE to the lowest computed polymorph = 0.518 eV per atom; spin magnetization = 0.0000 μB per atom
1.0
-2.010 2.010 4.083
2.010 -2.010 4.083
2.010 2.010 -4.083
Tc Hg As
2 1 1
direct
0.000 0.000 0.000
0.750 0.250 0.500
0.500 0.500 0.000
0.250 0.750 0.500


(8)
Rb2PmSbSe4 | Alexandria | PBE | optimized geometry; formation energy from raw total energies = -1.1661 eV/atom; spin magnetization = 0.0000 μB per atom
1.0
-4.483 4.493 6.348
4.483 -4.493 6.348
4.483 4.493 -6.348
Rb Pm Sb Se
4 2 2 8
direct
0.000 0.000 0.000
0.500 0.000 0.000
0.500 0.000 0.500
0.500 0.500 0.500
0.000 0.000 0.500
0.000 0.500 0.000
0.000 0.500 0.500
0.500 0.500 0.000
0.201 0.732 0.469
0.235 0.268 0.534
0.235 0.701 0.966
0.237 0.268 0.969
0.763 0.732 0.031
0.765 0.299 0.034
0.765 0.732 0.466
0.799 0.268 0.531


(9)
Mg2Ga2Fe | Alexandria | PBE | optimized geometry; electronic total energy = -3.514 eV per atom; spin magnetization = 0.4184 μB per atom
1.0
6.527 0.000 0.000
0.000 6.527 0.000
0.000 0.000 4.138
Mg Ga Fe
4 4 2
direct
0.172 0.328 0.000
0.328 0.828 0.000
0.672 0.172 0.000
0.828 0.672 0.000
0.141 0.641 0.500
0.359 0.141 0.500
0.641 0.859 0.500
0.859 0.359 0.500
0.000 0.000 0.500
0.500 0.500 0.500


(10)
NdThAlHg | Alexandria | PBE | optimized geometry; electronic total energy = -4.332 eV per atom; spin magnetization = 0.0000 μB per atom
1.0
0.000 3.793 3.793
3.793 0.000 3.793
3.793 3.793 0.000
Nd Th Al Hg
1 1 1 1
direct
0.000 0.000 0.000
0.500 0.500 0.500
0.250 0.250 0.250
0.750 0.750 0.750


(11)
As2WAu | Alexandria | PBE | optimized geometry; ΔE to the lowest computed polymorph = 0.374 eV per atom; spin magnetization = 0.0001 μB per atom
1.0
-2.133 2.133 3.758
2.133 -2.133 3.758
2.133 2.133 -3.758
As W Au
2 1 1
direct
0.250 0.750 0.500
0.750 0.250 0.500
0.000 0.000 0.000
0.500 0.500 0.000


(12)
Li2MgSi2 | Alexandria | PBE | optimized geometry; ΔE to the lowest computed polymorph = 0.067 eV per atom; formation energy from raw total energies = -0.0189 eV/atom; spin magnetization = 0.0000 μB per atom
1.0
7.536 0.000 0.000
0.000 7.536 0.000
0.000 0.000 2.782
Li Mg Si
4 2 4
direct
0.114 0.386 0.000
0.386 0.886 0.000
0.614 0.114 0.000
0.886 0.614 0.000
0.000 0.000 0.000
0.500 0.500 0.000
0.183 0.683 0.500
0.317 0.183 0.500
0.683 0.817 0.500
0.817 0.317 0.500


Repeat the eighth record exactly.
Rb2PmSbSe4 | Alexandria | PBE | optimized geometry; formation energy from raw total energies = -1.1661 eV/atom; spin magnetization = 0.0000 μB per atom
1.0
-4.483 4.493 6.348
4.483 -4.493 6.348
4.483 4.493 -6.348
Rb Pm Sb Se
4 2 2 8
direct
0.000 0.000 0.000
0.500 0.000 0.000
0.500 0.000 0.500
0.500 0.500 0.500
0.000 0.000 0.500
0.000 0.500 0.000
0.000 0.500 0.500
0.500 0.500 0.000
0.201 0.732 0.469
0.235 0.268 0.534
0.235 0.701 0.966
0.237 0.268 0.969
0.763 0.732 0.031
0.765 0.299 0.034
0.765 0.732 0.466
0.799 0.268 0.531